This record from Alexandria via LeMat-Bulk describes a relaxed Sc4TlPb crystal. The functional is GGA-PBE.

a = 8.4478 Å, b = 8.4478 Å, c = 8.4478 Å
α = 90.00°, β = 90.00°, γ = 90.00°
With the nearest neighbours (Å) after each atom.
Space group F-43m (No. 216)
Symmetry-distinct sites (fractional):
Sc 0.1251 0.1251 0.1251 (multiplicity 16)  6 Sc 2.99
Tl 0.2500 0.2500 0.7500 (multiplicity 4)  12 Sc 3.50, 4 Pb 3.66
Pb 0.0000 0.0000 0.5000 (multiplicity 4)  12 Sc 3.50, 4 Tl 3.66

Computed properties:
* relative energy among the computed polymorphs: 0.1645 eV per atom
* V: 25.12 Å³ per atom
* final energy: -5.1379 eV/atom
* size of the total moment: 0.01 μB per cell
* ΔH_f (0 K): 96 meV per atom


This record from Alexandria via LeMat-Bulk describes a relaxed Ba2In3Ag4Sn crystal. The functional is GGA-PBE.

a = 4.8850 Å, b = 4.8850 Å, c = 11.6160 Å
α = 90.00°, β = 90.00°, γ = 90.00°
With the nearest neighbours (Å) after each atom.
Space group P-4m2 (No. 115)
Symmetry-distinct sites (fractional):
Ba 0.0000 0.5000 0.2477 (multiplicity 2)  8 Ag 3.71-3.77, 6 In 3.75-3.82, 2 Sn 3.82
In 0.0000 0.5000 0.8784 (multiplicity 2)  5 Ag 2.82-2.83
In 0.5000 0.5000 0.5000 (multiplicity 1)  4 Ag 2.90
Ag 0.0000 0.0000 0.0000 (multiplicity 1)  4 In 2.82
Ag 0.0000 0.5000 0.6349 (multiplicity 2)  3 In 2.83-2.90, 2 Sn 2.90
Ag 0.5000 0.5000 0.0000 (multiplicity 1)  4 In 2.82
Sn 0.0000 0.0000 0.5000 (multiplicity 1)  4 Ag 2.90

Computed properties:
* V: 27.72 Å³ per atom
* final energy: -3.0527 eV/atom
* size of the total moment: 0.00 μB per cell
* ΔH_f (0 K): -306 meV per atom


This record from Alexandria via LeMat-Bulk describes a relaxed Sr3Ti5S12 crystal. The functional is GGA-PBE.

a = 15.5766 Å, b = 15.5766 Å, c = 15.5766 Å
α = 90.00°, β = 90.00°, γ = 90.00°
With the nearest neighbours (Å) after each atom.
Space group Ia-3d (No. 230)
Symmetry-distinct sites (fractional):
Sr 0.0000 0.2500 0.1250 (multiplicity 24)  8 S 3.07-3.15
Ti 0.0000 0.0000 0.0000 (multiplicity 16)  6 S 2.49
Ti 0.0000 0.2500 0.3750 (multiplicity 24)  4 S 2.28
S 0.0344 0.0518 0.6469 (multiplicity 96)  2 Ti 2.28-2.49

Computed properties:
* V: 23.62 Å³ per atom
* E_form (uncorrected): -1.487 eV per atom
* final energy: -6.1895 eV/atom
* size of the total moment: 16.39 μB per cell


What is the final energy in the third record?
-6.1895 eV/atom


The highest size of the total moment belongs to which entry?
Sr3Ti5S12


final energy of number 3 (Sr3Ti5S12)?
-6.1895 eV/atom